Entry 1:
A plane-wave DFT calculation with meta-GGA SCAN was carried out for Tc2PRu at its PBEsol-relaxed geometry.

a b c (Å): 2.861 4.263 4.998
angles (deg): 115.25 106.63 90.00
Positions (direct):
P (0.000, 0.500, 0.000)
Ru (0.500, 0.000, 0.000)
Tc (0.718, 0.718, 0.435)
Tc (0.282, 0.282, 0.565)

Output
- DOS at the Fermi energy: 3.12 states/eV per cell
- SG: Immm, No. 71
- Formation enthalpy at 0 K: -249 meV per atom



Entry 2:
A plane-wave DFT calculation with meta-GGA SCAN was carried out for La2SbCl2 at its PBEsol-relaxed geometry.

a b c (Å): 4.296 4.296 7.909
angles (deg): 105.76 105.76 90.00
Site moments in Bohr magnetons follow the coordinates.
Positions (direct):
Sb (0.000, 0.000, 0.000)  -0.04
Cl (0.250, 0.750, 0.500)  0.00
Cl (0.750, 0.250, 0.500)  0.00
La (0.383, 0.383, 0.766)  0.29
La (0.617, 0.617, 0.234)  0.29

Output
- DOS at the Fermi energy: 1.22 states/eV per cell
- Formation energy without anion corrections: -1.89 eV per atom
- SG: I4/mmm, No. 139



Entry 3:
A plane-wave DFT calculation with meta-GGA SCAN was carried out for Ta2SbRu at its PBEsol-relaxed geometry.

a b c (Å): 3.122 4.829 4.829
angles (deg): 109.11 90.00 90.00
Positions (direct):
Ru (0.500, 0.500, 0.500)
Sb (0.500, 0.000, 0.000)
Ta (0.000, 0.000, 0.500)
Ta (0.000, 0.500, 0.000)

Output
- DOS at the Fermi energy: 3.19 states/eV per cell
- Formation energy without anion corrections: 0.03 eV per atom
- SG: Cmmm, No. 65



Entry 4:
A plane-wave DFT calculation with meta-GGA SCAN was carried out for BeFeCo at its PBEsol-relaxed geometry.

a b c (Å): 2.521 2.521 4.650
angles (deg): 105.73 105.73 90.00
Site moments in Bohr magnetons follow the coordinates.
Positions (direct):
Be (0.004, 0.004, 0.008)  -0.09
Co (0.657, 0.657, 0.314)  1.11
Fe (0.339, 0.339, 0.678)  2.38

Output
- DOS at the Fermi energy: 2.14 states/eV per cell
- SG: I4mm, No. 107
- Formation enthalpy at 0 K: -85 meV per atom



Entry 5:
A plane-wave DFT calculation with meta-GGA SCAN was carried out for Be4SiRh at its PBEsol-relaxed geometry.

a b c (Å): 4.277 4.277 4.277
angles (deg): 60.00 60.00 60.00
Positions (direct):
Be (0.376, 0.376, 0.376)
Be (0.376, 0.376, 0.872)
Be (0.872, 0.376, 0.376)
Be (0.376, 0.872, 0.376)
Si (0.000, 0.000, 0.000)
Rh (0.750, 0.750, 0.750)

Output
- DOS at the Fermi energy: 0.92 states/eV per cell
- Formation energy without anion corrections: -0.41 eV per atom
- SG: F-43m, No. 216



Entry 6:
A plane-wave DFT calculation with meta-GGA SCAN was carried out for HoGe2Ru2 at its PBEsol-relaxed geometry.

a b c (Å): 4.192 4.192 5.705
angles (deg): 111.55 111.55 90.00
Positions (direct):
Ru (0.750, 0.250, 0.500)
Ru (0.250, 0.750, 0.500)
Ge (0.371, 0.371, 0.743)
Ge (0.629, 0.629, 0.257)
Ho (0.000, 0.000, 0.000)

Output
- DOS at the Fermi energy: 2.73 states/eV per cell
- SG: I4/mmm, No. 139
- Formation enthalpy at 0 K: -772 meV per atom



Entry 7:
A plane-wave DFT calculation with meta-GGA SCAN was carried out for Zr2MnTe at its PBEsol-relaxed geometry.

a b c (Å): 3.856 4.670 5.168
angles (deg): 116.86 111.91 90.00
Site moments in Bohr magnetons follow the coordinates.
Positions (direct):
Mn (0.500, 0.000, 0.000)  2.85
Te (0.000, 0.500, 0.000)  0.00
Zr (0.766, 0.766, 0.532)  -0.28
Zr (0.234, 0.234, 0.468)  -0.28

Output
- DOS at the Fermi energy: 3.46 states/eV per cell
- Formation energy without anion corrections: -0.32 eV per atom
- SG: Immm, No. 71



Entry 8:
A plane-wave DFT calculation with meta-GGA SCAN was carried out for NaNbReNi2 at its PBEsol-relaxed geometry.

a b c (Å): 4.040 4.040 4.616
angles (deg): 90.00 90.00 90.00
Positions (direct):
Re (0.000, 0.000, 0.500)
Nb (0.500, 0.500, 0.500)
Na (0.000, 0.000, 0.000)
Ni (0.000, 0.500, 0.000)
Ni (0.500, 0.000, 0.000)

Output
- DOS at the Fermi energy: 5.51 states/eV per cell
- SG: P4/mmm, No. 123
- Formation enthalpy at 0 K: 1825 meV per atom